# ReAgCl2 GGA-PBE optimized geometry
data_ReAgCl2
_cell_length_a 2.895
_cell_length_b 5.493
_cell_length_c 10.774
_cell_angle_alpha 90.00
_cell_angle_beta 90.00
_cell_angle_gamma 90.00
_symmetry_space_group_name_H-M 'C m m m'
_symmetry_Int_Tables_number 65
_symmetry_space_group_name_Hall '-C 2 2'
loop_
_atom_site_label
_atom_site_type_symbol
_atom_site_fract_x
_atom_site_fract_y
_atom_site_fract_z
Re1 Re 0.000 0.000 0.000
Ag1 Ag 0.000 0.000 0.500
Cl1 Cl 0.000 0.500 0.178
# Theoretical density (g cm⁻³): 7.07
# Formation energy without anion corrections (eV per atom): 0.311
# VASP energy (eV per atom): -4.437


# PmErAg4 GGA-PBE optimized geometry
data_PmErAg4
_cell_length_a 10.066
_cell_length_b 3.741
_cell_length_c 7.620
_cell_angle_alpha 90.00
_cell_angle_beta 112.01
_cell_angle_gamma 90.00
_symmetry_space_group_name_H-M 'C 1 2/m 1'
_symmetry_Int_Tables_number 12
loop_
_symmetry_equiv_pos_as_xyz
'x,y,z'
'-x,-y,-z'
'-x,y,-z'
'x,-y,z'
'x+1/2,y+1/2,z'
'-x+1/2,-y+1/2,-z'
'-x+1/2,y+1/2,-z'
'x+1/2,-y+1/2,z'
loop_
_atom_site_label
_atom_site_type_symbol
_atom_site_fract_x
_atom_site_fract_y
_atom_site_fract_z
Pm1 Pm 0.000 0.000 0.000
Er1 Er 0.000 0.000 0.500
Ag1 Ag 0.169 0.500 0.825
Ag2 Ag 0.171 0.500 0.343
# Theoretical density (g cm⁻³): 9.29
# ΔE_f (meV per atom): -289
# VASP energy (eV per atom): -3.742


# SnPb3N GGA-PBE optimized geometry
data_SnPb3N
_cell_length_a 5.788
_cell_length_b 5.788
_cell_length_c 5.788
_cell_angle_alpha 90.00
_cell_angle_beta 90.00
_cell_angle_gamma 90.00
_symmetry_space_group_name_H-M 'P m -3 m'
_symmetry_Int_Tables_number 221
_symmetry_space_group_name_Hall '-P 4 2 3'
loop_
_atom_site_label
_atom_site_type_symbol
_atom_site_fract_x
_atom_site_fract_y
_atom_site_fract_z
Sn1 Sn 0.000 0.000 0.000
Pb1 Pb 0.000 0.000 0.500
N1 N 0.500 0.500 0.500
# Theoretical density (g cm⁻³): 6.46
# Formation energy without anion corrections (eV per atom): 1.669
# VASP energy (eV per atom): -3.022


# CeInNi4H6 GGA-PBE optimized geometry
data_CeInNi4H6
_cell_length_a 4.3867
_cell_length_b 4.3867
_cell_length_c 6.7374
_cell_angle_alpha 90.00
_cell_angle_beta 90.00
_cell_angle_gamma 120.00
_symmetry_space_group_name_H-M 'P 6/m m m'
_symmetry_Int_Tables_number 191
_symmetry_space_group_name_Hall '-P 6 2'
loop_
_atom_site_label
_atom_site_type_symbol
_atom_site_fract_x
_atom_site_fract_y
_atom_site_fract_z
Ce1 Ce 0.0000 0.0000 0.0000
In1 In 0.0000 0.0000 0.5000
Ni1 Ni 0.3333 0.6667 0.3131
H1 H 0.0000 0.5000 0.1624
# Theoretical density (g cm⁻³): 7.33
# VASP energy (eV per atom): -4.628


# BaZn2RuO6 GGA-PBE optimized geometry
data_BaZn2RuO6
_cell_length_a 9.725
_cell_length_b 10.446
_cell_length_c 6.848
_cell_angle_alpha 90.00
_cell_angle_beta 117.71
_cell_angle_gamma 90.00
_symmetry_space_group_name_H-M 'C 1 2/c 1'
_symmetry_Int_Tables_number 15
loop_
_symmetry_equiv_pos_as_xyz
'x,y,z'
'-x,-y,-z'
'-x,y,-z+1/2'
'x,-y,z+1/2'
'x+1/2,y+1/2,z'
'-x+1/2,-y+1/2,-z'
'-x+1/2,y+1/2,-z+1/2'
'x+1/2,-y+1/2,z+1/2'
loop_
_atom_site_label
_atom_site_type_symbol
_atom_site_fract_x
_atom_site_fract_y
_atom_site_fract_z
Ba1 Ba 0.000 0.162 0.250
Zn1 Zn 0.132 0.464 0.188
Ru1 Ru 0.000 0.191 0.750
O1 O 0.111 0.279 0.997
O2 O 0.117 0.080 0.684
O3 O 0.131 0.421 0.463
# Theoretical density (g cm⁻³): 5.02
# Formation energy without anion corrections (eV per atom): -1.328
# VASP energy (eV per atom): -5.677


# Ac5In2Pb5 GGA-PBE optimized geometry
data_Ac5In2Pb5
_cell_length_a 17.494
_cell_length_b 4.918
_cell_length_c 12.855
_cell_angle_alpha 90.00
_cell_angle_beta 129.53
_cell_angle_gamma 90.00
_symmetry_space_group_name_H-M 'C 1 2/m 1'
_symmetry_Int_Tables_number 12
loop_
_symmetry_equiv_pos_as_xyz
'x,y,z'
'-x,-y,-z'
'-x,y,-z'
'x,-y,z'
'x+1/2,y+1/2,z'
'-x+1/2,-y+1/2,-z'
'-x+1/2,y+1/2,-z'
'x+1/2,-y+1/2,z'
loop_
_atom_site_label
_atom_site_type_symbol
_atom_site_fract_x
_atom_site_fract_y
_atom_site_fract_z
Ac1 Ac 0.000 0.000 0.000
Ac2 Ac 0.110 0.000 0.424
Ac3 Ac 0.203 0.000 0.833
In1 In 0.137 0.500 0.248
Pb1 Pb 0.000 0.500 0.500
Pb2 Pb 0.068 0.500 0.845
Pb3 Pb 0.240 0.500 0.679
# Theoretical density (g cm⁻³): 9.35
# ΔE_f (meV per atom): -466
# VASP energy (eV per atom): -4.180


- Which formula does entry 3 have?
  SnPb3N